# Sm3DyS6

A relaxed structure of Sm3DyS6 (PBE, Alexandria).

Computed properties:
Electronic total energy, eV per atom: -6.387
Energy relative to the elements, uncorrected, meV/atom: -2035

a = 11.1909 Å, b = 4.0250 Å, c = 11.4924 Å
α = 90.00°, β = 108.27°, γ = 90.00°
With the nearest neighbours (Å) after each atom.
Fractional coordinates of all 20 atoms:
Sm 0.0728 0.2500 0.1695  6 S 2.73-2.84
Sm 0.1830 0.7500 0.5051  7 S 2.74-3.02
Sm 0.3390 0.2500 0.9176  6 S 2.73-2.84
Sm 0.6610 0.7500 0.0824  6 S 2.73-2.84
Sm 0.8170 0.2500 0.4949  7 S 2.74-3.02
Sm 0.9272 0.7500 0.8305  6 S 2.73-2.84
Dy 0.4580 0.2500 0.3138  8 S 2.82-3.09
Dy 0.5420 0.7500 0.6862  8 S 2.82-3.09
S 0.0226 0.2500 0.3871  4 Sm 2.73-2.93
S 0.0978 0.2500 0.9328  4 Sm 2.76-2.82
S 0.2517 0.7500 0.2802  3 Sm 2.84-2.92, 2 Dy 2.99, 1 S 3.17
S 0.3146 0.7500 0.7506  3 Sm 2.73-2.74, 1 Dy 2.86
S 0.3927 0.2500 0.5385  3 Dy 2.82-2.90, 2 Sm 3.02
S 0.4172 0.7500 0.1008  3 Sm 2.80-2.84, 2 Dy 3.09
S 0.5828 0.2500 0.8992  3 Sm 2.80-2.84, 2 Dy 3.09
S 0.6073 0.7500 0.4615  3 Dy 2.82-2.90, 2 Sm 3.02
S 0.6854 0.2500 0.2494  3 Sm 2.73-2.74, 1 Dy 2.86
S 0.7483 0.2500 0.7198  3 Sm 2.84-2.92, 2 Dy 2.99, 1 S 3.17
S 0.9022 0.7500 0.0672  4 Sm 2.76-2.82
S 0.9774 0.7500 0.6129  4 Sm 2.73-2.93